Density functional theory data (PBE) for La4SmCo2 after structural relaxation.

abc: 6.851 9.075 7.109
angles: 113.37 90.00 90.00
Atoms (fractional coordinates):
La (0.998, 0.571, 0.285)
La (0.750, 0.789, 0.782)
La (0.750, 0.006, 0.330)
La (0.502, 0.571, 0.285)
La (0.002, 0.429, 0.715)
La (0.250, 0.211, 0.218)
La (0.250, 0.994, 0.670)
La (0.498, 0.429, 0.715)
Co (0.250, 0.655, 0.619)
Co (0.750, 0.674, 0.037)
Co (0.250, 0.326, 0.963)
Co (0.750, 0.345, 0.381)
Sm (0.250, 0.790, 0.021)
Sm (0.750, 0.210, 0.979)

Results
V, Å³/cell: 405.7
Symmetry: P2_1/m (11)
Energy relative to the elements, eV/atom: -0.06